[1]
Material: GePbIN2
Method: DFT, GGA-PBE
State: relaxed

a = 4.1141 Å, b = 4.1141 Å, c = 6.7689 Å
α = 90.00°, β = 90.00°, γ = 90.00°
Last column: nearest neighbours and their distance in Å.
Fractional positions:
Ge1 0.0000 0.0000 0.0000  4 Pb 2.91
Pb1 0.5000 0.5000 0.0000  4 Ge 2.91
I1 0.5000 0.5000 0.5000  4 N 2.06
N1 0.0000 0.5000 0.5000  2 I 2.06
N2 0.5000 0.0000 0.5000  2 I 2.06

Computed properties:
space-group type	No. 123
formation energy without anion corrections	1.8823	eV per atom
spin magnetization	0.100	μB per atom
ΔE to the lowest computed polymorph	0.611	eV per atom
uncorrected energy	-3.423	eV per atom



[2]
Material: Ge2PbIN
Method: DFT, GGA-PBE
State: relaxed

a = 5.7057 Å, b = 5.7057 Å, c = 6.1030 Å
α = 90.00°, β = 90.00°, γ = 90.00°
Last column: nearest neighbours and their distance in Å.
Fractional positions:
Ge1 0.0000 0.5000 0.0000  2 Pb 2.85
Ge2 0.5000 0.0000 0.0000  2 Pb 2.85
Pb1 0.0000 0.0000 0.0000  4 Ge 2.85, 2 I 3.05
I1 0.0000 0.0000 0.5000  2 Pb 3.05
N1 0.5000 0.5000 0.5000  4 I 4.03, 8 Ge 4.18

Computed properties:
space-group type	No. 123
formation energy without anion corrections	2.0408	eV per atom
spin magnetization	0.000	μB per atom
uncorrected energy	-2.523	eV per atom



Among the records above, which one has the highest formation energy without anion corrections?
Ge2PbIN



The lowest spin magnetization belongs to which entry?
Ge2PbIN



What did the second record say?
Material: Ge2PbIN
Method: DFT, GGA-PBE
State: relaxed

a = 5.7057 Å, b = 5.7057 Å, c = 6.1030 Å
α = 90.00°, β = 90.00°, γ = 90.00°
Last column: nearest neighbours and their distance in Å.
Fractional positions:
Ge1 0.0000 0.5000 0.0000  2 Pb 2.85
Ge2 0.5000 0.0000 0.0000  2 Pb 2.85
Pb1 0.0000 0.0000 0.0000  4 Ge 2.85, 2 I 3.05
I1 0.0000 0.0000 0.5000  2 Pb 3.05
N1 0.5000 0.5000 0.5000  4 I 4.03, 8 Ge 4.18

Computed properties:
space-group type	No. 123
formation energy without anion corrections	2.0408	eV per atom
spin magnetization	0.000	μB per atom
uncorrected energy	-2.523	eV per atom



Which formula does entry 1 have?
GePbIN2